The following is a DFT calculation (GGA-PBE) of a relaxed structure of AlIn2Cl. Values from VASP.

Symmetry: Fm-3m
Crystal system: cubic
Energy relative to the elements, uncorrected in eV per atom: -0.01
Volume in Å³/cell: 393.68
Relative energy among the computed polymorphs in eV/atom: 0.2198

Quantum ESPRESSO input file:
```
&SYSTEM
  ibrav = 0, nat = 16, ntyp = 3
/
ATOMIC_SPECIES
Al 26.98 Al.upf
In 114.82 In.upf
Cl 35.45 Cl.upf
CELL_PARAMETERS angstrom
7.3291 0.0000 0.0000
0.0000 7.3291 0.0000
0.0000 0.0000 7.3291
ATOMIC_POSITIONS angstrom
Al 0.0000 0.0000 0.0000
Al 0.0000 3.6645 3.6645
Al 3.6645 0.0000 3.6645
Al 3.6645 3.6645 0.0000
In 1.8323 1.8323 1.8323
In 1.8323 1.8323 5.4968
In 1.8323 5.4968 1.8323
In 1.8323 5.4968 5.4968
In 5.4968 1.8323 1.8323
In 5.4968 1.8323 5.4968
In 5.4968 5.4968 1.8323
In 5.4968 5.4968 5.4968
Cl 0.0000 0.0000 3.6645
Cl 0.0000 3.6645 0.0000
Cl 3.6645 0.0000 0.0000
Cl 3.6645 3.6645 3.6645
```


The following is a DFT calculation (GGA-PBE) of a relaxed structure of Pa2Si4Pd3Pt. Values from VASP.

Symmetry: P-4m2
Crystal system: tetragonal
Energy relative to the elements, uncorrected in eV per atom: -0.78
Volume in Å³/cell: 174.21

Quantum ESPRESSO input file:
```
&SYSTEM
  ibrav = 0, nat = 10, ntyp = 4
/
ATOMIC_SPECIES
Pa 231.04 Pa.upf
Si 28.09 Si.upf
Pd 106.42 Pd.upf
Pt 195.08 Pt.upf
CELL_PARAMETERS angstrom
4.2503 0.0000 0.0000
0.0000 4.2503 0.0000
0.0000 0.0000 9.6432
ATOMIC_POSITIONS angstrom
Pa 0.0000 2.1252 2.3933
Pa 2.1252 0.0000 7.2499
Si 0.0000 0.0000 0.0000
Si 0.0000 2.1252 6.1043
Si 2.1252 0.0000 3.5389
Si 2.1252 2.1252 0.0000
Pd 0.0000 2.1252 8.4827
Pd 2.1252 0.0000 1.1605
Pd 2.1252 2.1252 4.8216
Pt 0.0000 0.0000 4.8216
```


The following is a DFT calculation (GGA-PBE) of a relaxed structure of CsRb2BF6. Values from VASP.

Symmetry: Fm-3m
Crystal system: cubic
Energy relative to the elements, uncorrected in eV per atom: -2.53
Volume in Å³/cell: 175.87

Quantum ESPRESSO input file:
```
&SYSTEM
  ibrav = 0, nat = 10, ntyp = 4
/
ATOMIC_SPECIES
Cs 132.91 Cs.upf
Rb 85.47 Rb.upf
B 10.81 B.upf
F 19.00 F.upf
CELL_PARAMETERS angstrom
0.0000 4.4469 4.4469
4.4469 0.0000 4.4469
4.4469 4.4469 0.0000
ATOMIC_POSITIONS angstrom
Cs 0.0000 0.0000 0.0000
Rb 2.2234 2.2234 2.2234
Rb 6.6703 6.6703 6.6703
B 4.4469 4.4469 4.4469
F 4.4469 4.4469 2.7931
F 4.4469 2.7931 4.4469
F 6.1007 4.4469 4.4469
F 2.7931 4.4469 4.4469
F 4.4469 6.1007 4.4469
F 4.4469 4.4469 6.1007
```


The following is a DFT calculation (GGA-PBE) of a relaxed structure of MnSiPbS4. Values from VASP.

Symmetry: P2_1/m
Crystal system: monoclinic
Energy relative to the elements, uncorrected in eV per atom: -0.51
Volume in Å³/cell: 318.11

Quantum ESPRESSO input file:
```
&SYSTEM
  ibrav = 0, nat = 14, ntyp = 4
/
ATOMIC_SPECIES
Mn 54.94 Mn.upf
Si 28.09 Si.upf
Pb 207.20 Pb.upf
S 32.06 S.upf
CELL_PARAMETERS angstrom
6.1223 0.0000 0.0000
0.0000 6.7847 0.0000
-1.3290 0.0000 7.6584
ATOMIC_POSITIONS angstrom
Mn 0.3015 1.6962 3.7474
Mn 4.4919 5.0885 3.9110
Si 1.1279 5.0885 5.2132
Si 3.6654 1.6962 2.4451
Pb 1.3546 5.0885 0.5314
Pb 3.4387 1.6962 7.1269
S -0.3205 3.4923 5.4629
S -0.3205 6.6848 5.4629
S 2.3100 1.6962 0.8074
S 2.1530 5.0885 3.3720
S 2.6404 1.6962 4.2864
S 2.4833 5.0885 6.8510
S 5.1138 0.0999 2.1955
S 5.1138 3.2924 2.1955
```


The following is a DFT calculation (GGA-PBE) of a relaxed structure of NdEr4Cd2. Values from VASP.

Energy relative to the elements in eV/atom: 0.213
Symmetry: R-3m
Crystal system: trigonal
Volume in Å³/cell: 228.78

Quantum ESPRESSO input file:
```
&SYSTEM
  ibrav = 0, nat = 7, ntyp = 3
/
ATOMIC_SPECIES
Nd 144.24 Nd.upf
Er 167.26 Er.upf
Cd 112.41 Cd.upf
CELL_PARAMETERS angstrom
2.5234 1.4569 10.3715
-2.5234 1.4569 10.3715
0.0000 -2.9138 10.3715
ATOMIC_POSITIONS angstrom
Nd 0.0000 0.0000 0.0000
Er 0.0000 0.0000 6.2790
Er 0.0000 0.0000 12.3116
Er 0.0000 0.0000 18.8029
Er 0.0000 0.0000 24.8355
Cd 0.0000 0.0000 3.1523
Cd 0.0000 0.0000 27.9621
```


The following is a DFT calculation (GGA-PBE) of a relaxed structure of SmDy3Te6. Values from VASP.

Symmetry: P2_1/m
Crystal system: monoclinic
Energy relative to the elements, uncorrected in eV per atom: -1.39
Volume in Å³/cell: 661.59
Relative energy among the computed polymorphs in eV/atom: 0.0000

Quantum ESPRESSO input file:
```
&SYSTEM
  ibrav = 0, nat = 20, ntyp = 3
/
ATOMIC_SPECIES
Sm 150.36 Sm.upf
Dy 162.50 Dy.upf
Te 127.60 Te.upf
CELL_PARAMETERS angstrom
12.4900 0.0000 0.0000
0.0000 4.3731 0.0000
-4.2462 0.0000 12.1125
ATOMIC_POSITIONS angstrom
Sm -0.2606 1.0933 2.3718
Sm 8.5044 3.2799 9.7408
Dy -0.5258 1.0933 7.0387
Dy -0.2773 3.2799 12.0880
Dy 3.9900 1.0933 4.0456
Dy 4.2538 3.2799 8.0669
Dy 8.5211 1.0933 0.0246
Dy 8.7697 3.2799 5.0738
Te -0.6465 3.2799 4.8580
Te -2.6944 1.0933 11.7207
Te -0.7696 3.2799 9.0885
Te 2.2407 3.2799 2.6777
Te 2.5199 1.0933 6.7954
Te 5.5387 1.0933 1.4232
Te 2.7051 3.2799 10.6893
Te 5.7239 3.2799 5.3171
Te 6.0031 1.0933 9.4348
Te 9.0134 1.0933 3.0240
Te 10.9382 3.2799 0.3918
Te 8.8903 1.0933 7.2545
```


Number 1: magnetic moment 0.00 μB per cell. Number 2: magnetic moment 0.00 μB per cell. Number 3: magnetic moment 0.00 μB per cell. Number 4: magnetic moment 10.00 μB per cell. Number 5: magnetic moment 0.56 μB per cell. Number 6: magnetic moment 0.00 μB per cell.